FeAg2F5 after structural relaxation. Source: the Alexandria database, functional PBE with a Hubbard U.

total DFT energy (no corrections): -4.34 eV/atom

a b c (Å): 5.7128 6.2601 7.8985
angles (deg): 108.42 90.00 117.15
Last column: magnetic moment on the atom in μB.
Element x y z (fractional)
1 F 0.1013 0.7296 0.9275  0.09
2 F 0.8851 0.2606 0.5605  0.09
3 F 0.6246 0.7394 0.9395  0.09
4 F 0.3754 0.2606 0.0605  0.09
5 F 0.0143 0.0000 0.2500  0.11
6 F 0.6283 0.7296 0.4275  0.09
7 F 0.9857 0.0000 0.7500  0.11
8 F 0.3717 0.2704 0.5725  0.09
9 F 0.1149 0.7394 0.4395  0.09
10 F 0.8987 0.2704 0.0725  0.09
11 Fe 0.0000 0.0000 0.5000  4.46
12 Fe 0.0000 0.0000 0.0000  4.46
13 Ag 0.3460 0.7010 0.1753  0.01
14 Ag 0.3549 0.7010 0.6753  0.01
15 Ag 0.6540 0.2990 0.8247  0.01
16 Ag 0.6451 0.2990 0.3247  0.01